# TbCeGa2Au5, optimized geometry, DFT PBE
# Energy of formation from the pure elements, eV/atom: -0.478
data_TbCeGa2Au5
_chemical_formula_sum 'Tb1 Ce1 Ga2 Au5'
_cell_length_a 4.494
_cell_length_b 4.494
_cell_length_c 9.364
_cell_angle_alpha 90.00
_cell_angle_beta 90.00
_cell_angle_gamma 90.00
_space_group_name_H-M_alt 'P 4/m m m'
_space_group_IT_number 123
_space_group_name_Hall '-P 4 2'
loop_
_atom_site_label
_atom_site_fract_x
_atom_site_fract_y
_atom_site_fract_z
_atom_site_occupancy
Tb1 0.000 0.000 0.000 1
Ce1 0.000 0.000 0.500 1
Ga1 0.500 0.500 0.130 1
Au1 0.000 0.500 0.267 1
Au2 0.500 0.500 0.500 1



# AcSb3S6, optimized geometry, DFT PBE
# ΔE_f (raw), meV/atom: -738
# Relative energy among the computed polymorphs, meV/atom: 0.0
data_AcSb3S6
_chemical_formula_sum 'Ac2 Sb6 S12'
_cell_length_a 11.922
_cell_length_b 3.999
_cell_length_c 12.061
_cell_angle_alpha 90.00
_cell_angle_beta 105.38
_cell_angle_gamma 90.00
_space_group_name_H-M_alt 'P 1 21/m 1'
_space_group_IT_number 11
loop_
_space_group_symop_operation_xyz
'x,y,z'
'-x,-y,-z'
'-x,y+1/2,-z'
'x,-y+1/2,z'
loop_
_atom_site_label
_atom_site_fract_x
_atom_site_fract_y
_atom_site_fract_z
_atom_site_occupancy
Ac1 0.190 0.250 0.033 1
Sb1 0.042 0.750 0.296 1
Sb2 0.338 0.250 0.433 1
Sb3 0.400 0.750 0.847 1
S1 0.031 0.750 0.882 1
S2 0.127 0.250 0.447 1
S3 0.225 0.750 0.235 1
S4 0.257 0.250 0.798 1
S5 0.391 0.750 0.053 1
S6 0.394 0.750 0.574 1



# MnCu2S4, optimized geometry, DFT PBE
# ΔE_f (raw), meV/atom: 176
# Relative energy among the computed polymorphs, meV/atom: 487.5
data_MnCu2S4
_chemical_formula_sum 'Mn2 Cu4 S8'
_cell_length_a 4.721
_cell_length_b 4.721
_cell_length_c 11.186
_cell_angle_alpha 90.00
_cell_angle_beta 90.00
_cell_angle_gamma 90.00
_space_group_name_H-M_alt 'I 4/m m m'
_space_group_IT_number 139
_space_group_name_Hall '-I 4 2'
loop_
_atom_site_label
_atom_site_fract_x
_atom_site_fract_y
_atom_site_fract_z
_atom_site_occupancy
Mn1 0.000 0.000 0.000 1
Cu1 0.000 0.000 0.394 1
S1 0.000 0.000 0.202 1
S2 0.000 0.500 0.000 1



# Ta3Nb2Os, optimized geometry, DFT PBE
# Energy of formation from the pure elements, eV/atom: 0.500
# Relative energy among the computed polymorphs, meV/atom: 727.3
data_Ta3Nb2Os
_chemical_formula_sum 'Ta12 Nb8 Os4'
_cell_length_a 12.696
_cell_length_b 7.131
_cell_length_c 5.276
_cell_angle_alpha 90.00
_cell_angle_beta 90.00
_cell_angle_gamma 90.00
_space_group_name_H-M_alt 'C m c m'
_space_group_IT_number 63
_space_group_name_Hall '-C 2c 2'
loop_
_atom_site_label
_atom_site_fract_x
_atom_site_fract_y
_atom_site_fract_z
_atom_site_occupancy
Ta1 0.000 0.000 0.000 1
Ta2 0.207 0.311 0.250 1
Nb1 0.104 0.340 0.750 1
Os1 0.000 0.313 0.250 1



# KIn2Os, optimized geometry, DFT PBE
# Energy of formation from the pure elements, eV/atom: 0.973
# Relative energy among the computed polymorphs, meV/atom: 640.3
data_KIn2Os
_chemical_formula_sum 'K4 In8 Os4'
_cell_length_a 7.109
_cell_length_b 7.109
_cell_length_c 7.109
_cell_angle_alpha 90.00
_cell_angle_beta 90.00
_cell_angle_gamma 90.00
_space_group_name_H-M_alt 'F -4 3 m'
_space_group_IT_number 216
_space_group_name_Hall 'F -4 2 3'
loop_
_atom_site_label
_atom_site_fract_x
_atom_site_fract_y
_atom_site_fract_z
_atom_site_occupancy
K1 0.000 0.000 0.000 1
In1 0.000 0.000 0.500 1
In2 0.250 0.250 0.750 1
Os1 0.250 0.250 0.250 1



# LiCrPt2, optimized geometry, DFT PBE
# Energy of formation from the pure elements, eV/atom: -0.299
data_LiCrPt2
_chemical_formula_sum 'Li2 Cr2 Pt4'
_cell_length_a 3.771
_cell_length_b 3.771
_cell_length_c 7.988
_cell_angle_alpha 90.00
_cell_angle_beta 90.00
_cell_angle_gamma 90.00
_space_group_name_H-M_alt 'I -4 m 2'
_space_group_IT_number 119
_space_group_name_Hall 'I -4 -2'
loop_
_atom_site_label
_atom_site_fract_x
_atom_site_fract_y
_atom_site_fract_z
_atom_site_occupancy
Li1 0.000 0.000 0.000 1
Cr1 0.000 0.500 0.250 1
Pt1 0.000 0.000 0.500 1
Pt2 0.000 0.500 0.750 1



# LiHfNb4N8, optimized geometry, DFT PBE
# ΔE_f (raw), meV/atom: -848
data_LiHfNb4N8
_chemical_formula_sum 'Li3 Hf3 Nb12 N24'
_cell_length_a 6.2544
_cell_length_b 6.2544
_cell_length_c 15.3653
_cell_angle_alpha 90.00
_cell_angle_beta 90.00
_cell_angle_gamma 120.00
_space_group_name_H-M_alt 'R 3 m'
_space_group_IT_number 160
_space_group_name_Hall 'R 3 -2"'
loop_
_atom_site_label
_atom_site_fract_x
_atom_site_fract_y
_atom_site_fract_z
_atom_site_occupancy
Li1 0.0000 0.0000 0.0000 1
Hf1 0.0000 0.0000 0.6219 1
Nb1 0.0000 0.0000 0.3782 1
Nb2 0.0051 0.5025 0.5021 1
N1 0.0000 0.0000 0.2448 1
N2 0.0000 0.0000 0.7574 1
N3 0.0052 0.5026 0.7568 1
N4 0.1771 0.3541 0.5754 1



# ScU2Te5, optimized geometry, DFT PBE
# ΔE_f (raw), meV/atom: -182
data_ScU2Te5
_chemical_formula_sum 'Sc1 U2 Te5'
_cell_length_a 7.333
_cell_length_b 7.333
_cell_length_c 5.018
_cell_angle_alpha 90.00
_cell_angle_beta 90.00
_cell_angle_gamma 90.00
_space_group_name_H-M_alt 'P 4/m m m'
_space_group_IT_number 123
_space_group_name_Hall '-P 4 2'
loop_
_atom_site_label
_atom_site_fract_x
_atom_site_fract_y
_atom_site_fract_z
_atom_site_occupancy
Sc1 0.000 0.000 0.000 1
U1 0.000 0.500 0.500 1
Te1 0.000 0.000 0.500 1
Te2 0.275 0.275 0.000 1



In order of appearance, total magnetization = 1.01 0.00 1.62 0.00 0.00 2.77 0.00 5.96 μB/f.u..
In order of appearance, raw total energy = -37.3 -97.2 -65.3 -255.7 -55.6 -49.6 -391.9 -46.1 eV for the cell shown.